Below is a relaxed structure of Li2CoRu, with properties calculated at the PBE-GGA level.

Cell lengths 3.471, 3.471, 4.258 Å; angles 90.00, 90.00, 90.00 degrees
Space group P4/mmm (No. 123)
Asymmetric unit:
1 Li 0.000 0.500 0.000 x2
2 Co 0.000 0.000 0.500 x1
3 Ru 0.500 0.500 0.500 x1

Summary:
**Spin magnetization**: 2.61 Bohr magnetons per cell
**D(E_F)**: 2.21 states/eV per cell
**ΔH_f (0 K)**: 0.23 eV/atom
**Calculated volume**: 51.3 Å³ per cell
**E above lowest polymorph**: 106 meV/atom


Below is a relaxed structure of Pm2Ga3Ag, with properties calculated at the PBE-GGA level.

Cell lengths 7.612, 9.029, 15.666 Å; angles 90.00, 90.00, 90.00 degrees
Space group Fmmm (No. 69)
Asymmetric unit:
1 Pm 0.243 0.000 0.000 x8
2 Pm 0.250 0.250 0.250 x8
3 Ga 0.000 0.000 0.337 x8
4 Ga 0.000 0.246 0.418 x16
5 Ag 0.000 0.000 0.168 x8

Summary:
**Spin magnetization**: 0.00 Bohr magnetons per cell
**D(E_F)**: 29.38 states/eV per cell
**ΔH_f (0 K)**: -0.58 eV/atom
**Calculated volume**: 1076.7 Å³ per cell


Below is a relaxed structure of Ba5OsN6, with properties calculated at the PBE-GGA level.

Cell lengths 6.497, 11.878, 6.395 Å; angles 90.00, 106.35, 90.00 degrees
Space group C2/m (No. 12)
Asymmetric unit:
1 Ba 0.000 0.000 0.000 x2
2 Ba 0.000 0.163 0.500 x4
3 Ba 0.000 0.347 0.000 x4
4 Os 0.000 0.500 0.500 x2
5 N 0.183 0.382 0.682 x8
6 N 0.215 0.500 0.269 x4

Summary:
**Spin magnetization**: 0.00 Bohr magnetons per cell
**D(E_F)**: 6.72 states/eV per cell
**DFT total energy**: -143.4 eV for the cell shown
**Calculated volume**: 473.5 Å³ per cell


Below is a relaxed structure of Dy3Ag3Pb4, with properties calculated at the PBE-GGA level.

Cell lengths 10.137, 10.137, 10.137 Å; angles 90.00, 90.00, 90.00 degrees
Space group I-43d (No. 220)
Asymmetric unit:
1 Dy 0.000 0.250 0.375 x12
2 Ag 0.000 0.250 0.875 x12
3 Pb 0.094 0.094 0.094 x16

Summary:
**Spin magnetization**: 0.00 Bohr magnetons per cell
**D(E_F)**: 31.32 states/eV per cell
**ΔH_f (0 K)**: -0.24 eV/atom
**Calculated volume**: 1041.5 Å³ per cell